[1]
CsHfB | OQMD via LeMat-Bulk | GGA-PBE | relaxed; symmetry = No. 216; size of the total moment = 0.00 μB/f.u.; calculated total energy = -3.837 eV/atom; distance to the lowest polymorph of the same formula = 0.1211 eV per atom
1.0
0.0000 3.3219 3.3219
3.3219 0.0000 3.3219
3.3219 3.3219 0.0000
Cs Hf B
1 1 1
direct
0.0000 0.0000 0.0000
0.7500 0.7500 0.7500
0.5000 0.5000 0.5000



[2]
CsZn4As2P | OQMD via LeMat-Bulk | GGA-PBE | relaxed; symmetry = No. 123; calculated total energy = -2.888 eV/atom
1.0
4.1757 0.0000 0.0000
0.0000 4.1757 0.0000
0.0000 0.0000 10.5345
Cs Zn As P
1 4 2 1
direct
0.0000 0.0000 0.0000
0.0000 0.5000 0.3516
0.0000 0.5000 0.6484
0.5000 0.0000 0.3516
0.5000 0.0000 0.6484
0.5000 0.5000 0.2189
0.5000 0.5000 0.7811
0.0000 0.0000 0.5000



[3]
Na2GdO4 | OQMD via LeMat-Bulk | GGA-PBE | relaxed; symmetry = No. 227; size of the total moment = 3.00 μB/f.u.; calculated total energy = -5.201 eV/atom
1.0
0.0000 4.7796 4.7796
4.7796 0.0000 4.7796
4.7796 4.7796 0.0000
Na Gd O
4 2 8
direct
0.0000 0.0000 0.0000
0.0000 0.0000 0.5000
0.0000 0.5000 0.0000
0.5000 0.0000 0.0000
0.3750 0.3750 0.3750
0.6250 0.6250 0.6250
0.2366 0.7545 0.7545
0.2455 0.2455 0.2455
0.2455 0.2455 0.7634
0.2455 0.7634 0.2455
0.7545 0.2366 0.7545
0.7545 0.7545 0.2366
0.7545 0.7545 0.7545
0.7634 0.2455 0.2455